FeI3Br | GGA-PBE | optimized geometry

Cell and atoms, written as POSCAR:
```
FeI3Br
1.0
5.936 0.000 0.000
0.000 5.936 0.000
0.000 0.000 5.936
Fe I Br
1 3 1
Cartesian
0.000 0.000 0.000
0.000 2.968 2.968
2.968 0.000 2.968
2.968 2.968 0.000
2.968 2.968 2.968
```

## Properties
spin magnetization	4.504	μB per formula unit
total DFT energy (no corrections)	-0.1450	Ry/atom
Fermi-level density of states	7.1355	states/eV/atom
theoretical density	4.1	g/cm³
ΔE_f (raw)	0.98	eV per atom
SG	Pm-3m, No. 221